FeTe4Ir PBE-GGA relaxed; energy relative to the elements, uncorrected = 1.46 eV per atom; space group = No. 216
1.0
0.0000 4.2902 4.2902
4.2902 0.0000 4.2902
4.2902 4.2902 0.0000
Fe Te Ir
1 4 1
direct
0.0000 0.0000 0.0000 Fe
0.3754 0.3754 0.3754 Te
0.3754 0.3754 0.8737 Te
0.3754 0.8737 0.3754 Te
0.8737 0.3754 0.3754 Te
0.7500 0.7500 0.7500 Ir